Material: EuDyGe
Method: DFT, PBE
State: optimized geometry

Cell and atoms, written as CIF:
```
data_EuDyGe
_chemical_formula_sum 'Eu1 Dy1 Ge1'
_cell_length_a 5.0325
_cell_length_b 5.0325
_cell_length_c 5.0325
_cell_angle_alpha 60.00
_cell_angle_beta 60.00
_cell_angle_gamma 60.00
_symmetry_space_group_name_H-M 'P 1'
_symmetry_Int_Tables_number 1
loop_
_symmetry_equiv_pos_as_xyz
'x,y,z'
loop_
_atom_site_label
_atom_site_fract_x
_atom_site_fract_y
_atom_site_fract_z
_atom_site_occupancy
Eu1 0.0000 0.0000 0.0000 1
Dy1 0.5000 0.5000 0.5000 1
Ge1 0.2500 0.2500 0.2500 1
```

Symmetry = F-43m (216)
Electronic total energy = -6.973 eV per atom
Crystal system = cubic
Calculated formation energy = -0.475 eV/atom